Material: CaReIr2
Method: DFT, PBE
State: optimized geometry

The value obtained for the magnetic moment is 0.00 μB/f.u. The energy above the lowest structure with this stoichiometry is 219 meV per atom. The density of states at the Fermi level is 12.84 states/eV/cell. As for the formation energy: 98 kJ/mol of formula units.

The space group is R-3m (No. 166, hexagonal axes) and the conventional cell measures 2.8761, 2.8761 and 27.8026 Å, with angles of 90.00, 90.00 and 120.00 degrees. The inequivalent atoms are Ca at (0.0000, 0.0000, 0.0000), Re at (0.0000, 0.0000, 0.5000) and Ir at (0.0000, 0.0000, 0.2428).